[1]
A relaxed Tb2TlIn crystal, computed with PBE.

Summary:
As for the crystal system: orthorhombic.

abc: 7.1081 8.4997 3.5968
angles: 90.00 90.00 90.00
Space group Cmmm (No. 65)
Unique sites:
Tb: 0.2500 0.2500 0.0000 [4 per cell]
Tl: 0.0000 0.0000 0.5000 [2 per cell]
In: 0.0000 0.5000 0.5000 [2 per cell]

***

[2]
A relaxed Tb15TlIn4 crystal, computed with PBE.

Summary:
As for the crystal system: tetragonal.

abc: 4.8548 4.8548 24.3718
angles: 90.00 90.00 90.00
Space group P4/mmm (No. 123)
Unique sites:
Tb: 0.0000 0.0000 0.0000 [1 per cell]
Tb: 0.0000 0.0000 0.2001 [2 per cell]
Tb: 0.0000 0.0000 0.4000 [2 per cell]
Tb: 0.0000 0.5000 0.1007 [4 per cell]
Tb: 0.0000 0.5000 0.3000 [4 per cell]
Tb: 0.0000 0.5000 0.5000 [2 per cell]
Tl: 0.5000 0.5000 0.0000 [1 per cell]
In: 0.5000 0.5000 0.1999 [2 per cell]
In: 0.5000 0.5000 0.4000 [2 per cell]

***

[3]
A relaxed Tb6TlIn5 crystal, computed with PBE.

Summary:
For the offset from the most stable computed form, the calculation gives 147 meV/atom. As for the crystal system: monoclinic.

abc: 9.9068 11.1996 6.4612
angles: 90.00 102.70 90.00
Space group C2/m (No. 12)
Unique sites:
Tb: 0.2476 0.0000 0.2443 [4 per cell]
Tb: 0.2491 0.1674 0.7492 [8 per cell]
Tl: 0.0000 0.0000 0.5000 [2 per cell]
In: 0.0000 0.1706 0.0000 [4 per cell]
In: 0.0000 0.3376 0.5000 [4 per cell]
In: 0.0000 0.5000 0.0000 [2 per cell]

***

[4]
A relaxed Tb2TlIn9 crystal, computed with PBE.

Summary:
As for the crystal system: tetragonal.

abc: 4.6502 4.6502 14.5668
angles: 90.00 90.00 90.00
Space group P4/mmm (No. 123)
Unique sites:
Tb: 0.0000 0.0000 0.1578 [2 per cell]
Tl: 0.0000 0.0000 0.5000 [1 per cell]
In: 0.0000 0.5000 0.0000 [2 per cell]
In: 0.0000 0.5000 0.3228 [4 per cell]
In: 0.5000 0.5000 0.1615 [2 per cell]
In: 0.5000 0.5000 0.5000 [1 per cell]

***

[5]
A relaxed Tb4TlIn3 crystal, computed with PBE.

Summary:
For the offset from the most stable computed form, the calculation gives 0 meV/atom. As for the crystal system: tetragonal.

abc: 3.7757 3.7757 15.1975
angles: 90.00 90.00 90.00
Space group P4/mmm (No. 123)
Unique sites:
Tb: 0.0000 0.0000 0.1235 [2 per cell]
Tb: 0.0000 0.0000 0.3722 [2 per cell]
Tl: 0.5000 0.5000 0.5000 [1 per cell]
In: 0.5000 0.5000 0.0000 [1 per cell]
In: 0.5000 0.5000 0.2479 [2 per cell]

***

[6]
A relaxed TbTl2In crystal, computed with PBE.

Summary:
For the offset from the most stable computed form, the calculation gives 0 meV/atom. As for the crystal system: tetragonal.

abc: 4.7506 4.7506 4.7052
angles: 90.00 90.00 90.00
Space group P4/mmm (No. 123)
Unique sites:
Tb: 0.0000 0.0000 0.0000 [1 per cell]
Tl: 0.0000 0.5000 0.5000 [2 per cell]
In: 0.5000 0.5000 0.0000 [1 per cell]

***

[7]
A relaxed Tb6TlIn3 crystal, computed with PBE.

Summary:
As for the crystal system: monoclinic.

abc: 9.6409 5.2618 11.4973
angles: 90.00 105.36 90.00
Space group P2_1/m (No. 11)
Unique sites:
Tb: 0.0486 0.2500 0.4111 [2 per cell]
Tb: 0.1556 0.7500 0.1823 [2 per cell]
Tb: 0.2545 0.2500 0.9957 [2 per cell]
Tb: 0.3311 0.7500 0.8015 [2 per cell]
Tb: 0.3729 0.2500 0.3314 [2 per cell]
Tb: 0.4014 0.2500 0.6184 [2 per cell]
Tl: 0.4468 0.7500 0.1074 [2 per cell]
In: 0.0303 0.7500 0.8875 [2 per cell]
In: 0.1198 0.2500 0.7099 [2 per cell]
In: 0.2790 0.7500 0.4752 [2 per cell]

***

[8]
A relaxed Tb7Tl4In crystal, computed with PBE.

Summary:
As for the crystal system: monoclinic.

abc: 16.8536 5.6473 8.7697
angles: 90.00 120.89 90.00
Space group C2/m (No. 12)
Unique sites:
Tb: 0.0000 0.0000 0.0000 [2 per cell]
Tb: 0.0696 0.5000 0.4017 [4 per cell]
Tb: 0.1623 0.5000 0.9202 [4 per cell]
Tb: 0.2192 0.0000 0.6140 [4 per cell]
Tl: 0.0588 0.0000 0.7068 [4 per cell]
Tl: 0.2096 0.0000 0.2433 [4 per cell]
In: 0.0000 0.5000 0.0000 [2 per cell]

***

[9]
A relaxed Tb8Tl2In crystal, computed with PBE.

Summary:
For the offset from the most stable computed form, the calculation gives 111 meV/atom. As for the crystal system: monoclinic.

abc: 8.8714 14.9293 5.5579
angles: 90.00 113.48 90.00
Space group C2/m (No. 12)
Unique sites:
Tb: 0.0000 0.2172 0.0000 [4 per cell]
Tb: 0.1012 0.5000 0.7998 [4 per cell]
Tb: 0.2094 0.1133 0.6116 [8 per cell]
Tl: 0.0000 0.3051 0.5000 [4 per cell]
In: 0.0000 0.0000 0.0000 [2 per cell]

***

[10]
A relaxed Tb4Tl3In crystal, computed with PBE.

Summary:
As for the crystal system: tetragonal.

abc: 3.7936 3.7936 15.2350
angles: 90.00 90.00 90.00
Space group P4/mmm (No. 123)
Unique sites:
Tb: 0.0000 0.0000 0.1228 [2 per cell]
Tb: 0.0000 0.0000 0.3739 [2 per cell]
Tl: 0.5000 0.5000 0.2484 [2 per cell]
Tl: 0.5000 0.5000 0.5000 [1 per cell]
In: 0.5000 0.5000 0.0000 [1 per cell]

***

[11]
A relaxed Tb3Tl4In crystal, computed with PBE.

Summary:
As for the crystal system: orthorhombic.

abc: 3.4770 10.0090 13.1225
angles: 90.00 90.00 90.00
Space group Immm (No. 71)
Unique sites:
Tb: 0.0000 0.0000 0.0000 [2 per cell]
Tb: 0.0000 0.5000 0.2125 [4 per cell]
Tl: 0.0000 0.2647 0.3709 [8 per cell]
In: 0.0000 0.0000 0.5000 [2 per cell]

***

[12]
A relaxed Tb3Tl3In crystal, computed with PBE.

Summary:
As for the crystal system: hexagonal.

abc: 9.1208 9.1208 5.4045
angles: 90.00 90.00 120.00
Space group P6_3/m (No. 176)
Unique sites:
Tb: 0.1007 0.4531 0.2500 [6 per cell]
Tl: 0.0517 0.2448 0.7500 [6 per cell]
In: 0.3333 0.6667 0.7500 [2 per cell]

***

Number 1: total energy -4.0061 eV per atom, density of states at the Fermi level 0.54 states/eV/atom, formation enthalpy at 0 K -0.4148 eV per atom. Number 2: total energy -4.3916 eV per atom, density of states at the Fermi level 1.46 states/eV/atom, formation enthalpy at 0 K -0.2529 eV per atom. Number 3: total energy -3.9622 eV per atom, density of states at the Fermi level 0.91 states/eV/atom, formation enthalpy at 0 K -0.3089 eV per atom. Number 4: total energy -3.2651 eV per atom, density of states at the Fermi level 0.52 states/eV/atom, formation enthalpy at 0 K -0.2423 eV per atom. Number 5: total energy -4.0861 eV per atom, density of states at the Fermi level 0.59 states/eV/atom, formation enthalpy at 0 K -0.4482 eV per atom. Number 6: total energy -3.3248 eV per atom, density of states at the Fermi level 0.41 states/eV/atom, formation enthalpy at 0 K -0.2995 eV per atom. Number 7: total energy -4.1833 eV per atom, density of states at the Fermi level 1.02 states/eV/atom, formation enthalpy at 0 K -0.3470 eV per atom. Number 8: total energy -3.8934 eV per atom, density of states at the Fermi level 0.78 states/eV/atom, formation enthalpy at 0 K -0.1755 eV per atom. Number 9: total energy -4.1534 eV per atom, density of states at the Fermi level 1.27 states/eV/atom, formation enthalpy at 0 K -0.1067 eV per atom. Number 10: total energy -3.9329 eV per atom, density of states at the Fermi level 0.68 states/eV/atom, formation enthalpy at 0 K -0.3881 eV per atom. Number 11: total energy -3.4508 eV per atom, density of states at the Fermi level 0.98 states/eV/atom, formation enthalpy at 0 K -0.1890 eV per atom. Number 12: total energy -3.6578 eV per atom, density of states at the Fermi level 0.69 states/eV/atom, formation enthalpy at 0 K -0.2681 eV per atom.